{"formula": "SbAsOs2", "functional": "PBE-GGA", "state": "optimized geometry", "lattice_angstrom": [[5.7366, 0.0000, 0.0000], [0.0000, 5.7366, 0.0000], [2.8683, 2.8683, 5.6373]], "species": ["Sb", "Sb", "As", "As", "Os", "Os", "Os", "Os"], "fractional_positions": [[0.0000, 0.0000, 0.0000], [0.7500, 0.2500, 0.5000], [0.5000, 0.5000, 0.0000], [0.2500, 0.7500, 0.5000], [0.5951, 0.1250, 0.2500], [0.1549, 0.6250, 0.2500], [0.3750, 0.4049, 0.7500], [0.8750, 0.8451, 0.7500]], "spacegroup": "I-42d (122)", "volume_a3_per_cell": 185.5, "magmom_total_mub_per_cell": 0.0, "e_form_raw_ev_per_atom": 0.726, "e_tot_ev_per_atom": -7.0821, "de_polymorph_mev_per_atom": 428}